Computed, not measured: crystalline La2YF at its relaxed geometry at the PBE level of DFT.

abc: 3.8942 3.8942 26.4508
angles: 90.00 90.00 120.00
Last column: nearest neighbours and their distance in Å.
Space group R-3m (No. 166, hexagonal axes)
Symmetry-distinct sites (fractional):
1 La 0.0000 0.0000 0.2221 x6  3 F 2.68
2 Y 0.0000 0.0000 0.0000 x3  6 La 3.70, 6 Y 3.89
3 F 0.0000 0.0000 0.5000 x3  6 La 2.68

## Properties
**Energy relative to the elements, uncorrected**: -1155.0 meV/atom
**V**: 116 Å³/f.u.
**Total moment**: 0.0 Bohr magnetons per cell